A plane-wave DFT calculation with PBE with a Hubbard U was carried out for a relaxed structure of Cs2CrPbF6.

a = 6.643 Å, b = 6.643 Å, c = 6.643 Å
α = 122.27°, β = 122.27°, γ = 86.11°
Fractional coordinates of all 10 atoms:
Cs  0.250  0.750  0.500
Cs  0.750  0.250  0.500
Cr  0.000  0.000  0.000
Pb  0.500  0.500  0.000
F  0.227  0.227  0.453
F  0.227  0.773  0.000
F  0.249  0.249  0.000
F  0.751  0.751  0.000
F  0.773  0.227  0.000
F  0.773  0.773  0.547

Properties
The calculation puts the total energy at -5.02 eV/atom.